The following is a PBE calculation of an optimized crystal structure of Ru2PtW, from Alexandria.

## Properties
Magnetization = 0.0 μB per formula unit
DOS at the Fermi energy = 3.7 states/eV per cell
Formation energy = -0.03 eV per atom
SG = No. 99
Crystal system = tetragonal
VASP energy = -9.41 eV per atom
Energy above the lowest structure with this stoichiometry = 149 meV/atom

a = 2.7412 Å, b = 2.7412 Å, c = 7.9378 Å
α = 90.00°, β = 90.00°, γ = 89.99°
Closest atoms and distances in Å follow each position.
Positions (direct):
W (0.0000, 0.0000, 0.4993)  4 W 2.74, 4 Pt 2.77, 4 Ru 2.85
Ru (0.0000, 0.0000, 0.0160)  8 Ru 2.61-2.74, 4 Pt 2.88
Ru (0.5000, 0.5000, 0.2363)  8 Ru 2.61-2.74, 4 W 2.85
Pt (0.5000, 0.5000, 0.7484)  4 Pt 2.74, 4 W 2.77, 4 Ru 2.88


The following is a PBE calculation of an optimized crystal structure of Dy3Cu9Ni2, from Alexandria.

## Properties
Magnetization = 0.0 μB per formula unit
DOS at the Fermi energy = 5.4 states/eV per cell
Formation energy = -0.22 eV per atom
SG = No. 71
Crystal system = orthorhombic
VASP energy = -4.67 eV per atom

a = 4.1434 Å, b = 7.6852 Å, c = 7.6852 Å
α = 69.79°, β = 74.36°, γ = 74.36°
Closest atoms and distances in Å follow each position.
Positions (direct):
Dy (0.0000, 0.0000, 0.0000)  4 Cu 2.82
Dy (0.3084, 0.6916, 0.6916)  2 Ni 2.83, 12 Cu 2.93-3.14
Dy (0.6916, 0.3084, 0.3084)  2 Ni 2.83, 12 Cu 2.93-3.14
Cu (0.6707, 0.6856, 0.9730)  4 Cu 2.46-2.59, 1 Ni 2.50
Cu (0.1195, 0.6038, 0.1573)  4 Cu 2.42-2.59, 2 Ni 2.53
Cu (0.0000, 0.5000, 0.5000)  4 Cu 2.42, 4 Ni 2.66
Cu (0.3293, 0.0270, 0.3144)  4 Cu 2.46-2.59, 1 Ni 2.50
Cu (0.8805, 0.3962, 0.8427)  4 Cu 2.42-2.59, 2 Ni 2.53
Cu (0.6707, 0.9730, 0.6856)  4 Cu 2.46-2.59, 1 Ni 2.50
Cu (0.1195, 0.1573, 0.6038)  4 Cu 2.42-2.59, 2 Ni 2.53
Cu (0.8805, 0.8427, 0.3962)  4 Cu 2.42-2.59, 2 Ni 2.53
Cu (0.3293, 0.3144, 0.0270)  4 Cu 2.46-2.59, 1 Ni 2.50
Ni (0.5000, 0.3099, 0.6901)  8 Cu 2.50-2.66
Ni (0.5000, 0.6901, 0.3099)  8 Cu 2.50-2.66


The following is a PBE calculation of an optimized crystal structure of CuBr, from Alexandria.

## Properties
Magnetization = 0.0 μB per formula unit
Formation energy from raw total energies = -0.23 eV/atom
SG = No. 8
Crystal system = monoclinic
VASP energy = -3.12 eV per atom

a = 6.7978 Å, b = 6.7978 Å, c = 7.1220 Å
α = 61.98°, β = 61.98°, γ = 34.15°
Closest atoms and distances in Å follow each position.
Positions (direct):
Br (0.3073, 0.3073, 0.3428)  3 Cu 2.42-2.53
Br (0.4778, 0.4778, 0.6761)  3 Cu 2.41-2.51
Br (0.1179, 0.1179, 0.0438)  3 Cu 2.42-2.47
Cu (0.6867, 0.6867, 0.4261)  3 Br 2.41-2.42, 2 Cu 2.62
Cu (0.0543, 0.0543, 0.4323)  3 Br 2.47-2.51, 4 Cu 2.54-2.62
Cu (0.5226, 0.5226, 0.2456)  3 Br 2.42-2.53, 2 Cu 2.54